(1)
Material: ReGe2Br
Method: DFT, PBE-GGA
State: relaxed

Calculated values
Space group: I-42d (122)
E_form (uncorrected): 645 meV/atom
Energy relative to the lowest polymorph listed for this composition: 0.000 eV per atom
DFT total energy: -41.55 eV/cell

Cell lengths 7.375, 7.375, 7.375 Å; angles 131.10, 131.10, 71.66 degrees
Atoms (fractional coordinates):
Re 0.000 0.000 0.000
Re 0.750 0.250 0.500
Ge 0.046 0.625 0.921
Ge 0.375 0.296 0.421
Ge 0.704 0.125 0.079
Ge 0.875 0.954 0.579
Br 0.250 0.750 0.500
Br 0.500 0.500 0.000



(2)
Material: In2CuAg5
Method: DFT, PBE-GGA
State: relaxed

Calculated values
Space group: Pbam (55)
Energy of formation from the pure elements: 0.1 eV/f.u.
DFT total energy: -47.48 eV/cell

Cell lengths 5.946, 11.865, 4.157 Å; angles 90.00, 90.00, 90.00 degrees
Atoms (fractional coordinates):
In 0.237 0.121 0.000
In 0.263 0.621 0.000
In 0.737 0.379 0.000
In 0.763 0.879 0.000
Cu 0.000 0.000 0.500
Cu 0.500 0.500 0.500
Ag 0.000 0.500 0.500
Ag 0.009 0.754 0.500
Ag 0.246 0.377 0.000
Ag 0.254 0.877 0.000
Ag 0.491 0.254 0.500
Ag 0.500 0.000 0.500
Ag 0.509 0.746 0.500
Ag 0.746 0.123 0.000
Ag 0.754 0.623 0.000
Ag 0.991 0.246 0.500



(3)
Material: NaZnBRu2
Method: DFT, PBE-GGA
State: relaxed

Calculated values
Space group: P4/mmm (123)
Energy relative to the lowest polymorph listed for this composition: 0.000 eV per atom
Energy of formation from the pure elements: 7.7 eV/f.u.
DFT total energy: -20.12 eV/cell

Cell lengths 4.739, 4.739, 3.845 Å; angles 90.00, 90.00, 90.00 degrees
Atoms (fractional coordinates):
Na 0.000 0.000 0.000
Zn 0.500 0.500 0.500
B 0.500 0.500 0.000
Ru 0.000 0.500 0.500
Ru 0.500 0.000 0.500



(4)
Material: TbUTcRu
Method: DFT, PBE-GGA
State: relaxed

Calculated values
Space group: R3m (160)
Energy relative to the lowest polymorph listed for this composition: 0.000 eV per atom
Energy of formation from the pure elements: -0.9 eV/f.u.
DFT total energy: -36.42 eV/cell

Cell lengths 5.692, 5.692, 5.692 Å; angles 45.58, 45.58, 45.58 degrees
Atoms (fractional coordinates):
Tb 0.000 0.000 0.000
U 0.499 0.499 0.499
Tc 0.794 0.794 0.794
Ru 0.209 0.209 0.209



(5)
Material: La3Y2Ho6
Method: DFT, PBE-GGA
State: relaxed

Calculated values
Space group: R-3m (166)
Energy of formation from the pure elements: 0.2 eV/f.u.
DFT total energy: -54.94 eV/cell

Cell lengths 32.080, 32.080, 32.080 Å; angles 6.43, 6.43, 6.43 degrees
Atoms (fractional coordinates):
La 0.000 0.000 0.000
La 0.272 0.272 0.272
La 0.728 0.728 0.728
Y 0.455 0.455 0.455
Y 0.545 0.545 0.545
Ho 0.092 0.092 0.092
Ho 0.181 0.181 0.181
Ho 0.364 0.364 0.364
Ho 0.636 0.636 0.636
Ho 0.819 0.819 0.819
Ho 0.908 0.908 0.908



(6)
Material: FeReMo2
Method: DFT, PBE-GGA
State: relaxed

Calculated values
Space group: R-3m (166)
Energy relative to the lowest polymorph listed for this composition: 0.191 eV per atom
Energy of formation from the pure elements: 1.1 eV/f.u.
DFT total energy: -41.46 eV/cell

Cell lengths 9.070, 9.070, 9.070 Å; angles 17.50, 17.50, 17.50 degrees
Atoms (fractional coordinates):
Fe 0.000 0.000 0.000
Re 0.500 0.500 0.500
Mo 0.253 0.253 0.253
Mo 0.747 0.747 0.747



(7)
Material: CsNaVS4
Method: DFT, PBE-GGA
State: relaxed

Calculated values
Space group: P2_1/m (11)
E_form (uncorrected): -873 meV/atom
DFT total energy: -67.82 eV/cell

Cell lengths 7.437, 5.601, 10.104 Å; angles 90.00, 101.79, 90.00 degrees
Atoms (fractional coordinates):
Cs 0.250 0.250 0.021
Cs 0.750 0.750 0.979
Na 0.255 0.250 0.562
Na 0.745 0.750 0.438
V 0.240 0.750 0.332
V 0.760 0.250 0.668
S 0.025 0.026 0.280
S 0.025 0.474 0.280
S 0.365 0.750 0.539
S 0.435 0.750 0.201
S 0.565 0.250 0.799
S 0.635 0.250 0.461
S 0.975 0.526 0.720
S 0.975 0.974 0.720



(8)
Material: LaTl5Br8
Method: DFT, PBE-GGA
State: relaxed

Calculated values
Space group: I-4 (82)
E_form (uncorrected): -1178 meV/atom
DFT total energy: -46.63 eV/cell

Cell lengths 8.581, 8.581, 8.581 Å; angles 110.02, 110.02, 108.39 degrees
Atoms (fractional coordinates):
La 0.000 0.000 0.000
Tl 0.260 0.624 0.117
Tl 0.376 0.493 0.635
Tl 0.507 0.142 0.883
Tl 0.750 0.250 0.500
Tl 0.858 0.740 0.365
Br 0.096 0.201 0.765
Br 0.141 0.777 0.779
Br 0.223 0.002 0.364
Br 0.436 0.331 0.235
Br 0.638 0.859 0.636
Br 0.669 0.904 0.105
Br 0.799 0.564 0.895
Br 0.998 0.362 0.221



(9)
Material: NdS3
Method: DFT, PBE-GGA
State: relaxed

Calculated values
Space group: P6_3/mmc (194)
E_form (uncorrected): -806 meV/atom
DFT total energy: -40.75 eV/cell

Cell lengths 5.763, 5.763, 5.656 Å; angles 90.00, 90.00, 120.00 degrees
Atoms (fractional coordinates):
Nd 0.333 0.667 0.250
Nd 0.667 0.333 0.750
S 0.176 0.352 0.750
S 0.176 0.824 0.750
S 0.352 0.176 0.250
S 0.648 0.824 0.750
S 0.824 0.176 0.250
S 0.824 0.648 0.250



(10)
Material: TlPRh2
Method: DFT, PBE-GGA
State: relaxed

Calculated values
Space group: Fm-3m (225)
Energy of formation from the pure elements: 0.8 eV/f.u.
DFT total energy: -21.69 eV/cell

Cell lengths 4.497, 4.497, 4.497 Å; angles 60.00, 60.00, 60.00 degrees
Atoms (fractional coordinates):
Tl 0.000 0.000 0.000
P 0.500 0.500 0.500
Rh 0.250 0.250 0.250
Rh 0.750 0.750 0.750



(11)
Material: CaCo2Au
Method: DFT, PBE-GGA
State: relaxed

Calculated values
Space group: P2/m (10)
Energy of formation from the pure elements: 1.0 eV/f.u.
DFT total energy: -18.51 eV/cell

Cell lengths 3.768, 4.565, 4.641 Å; angles 90.00, 91.15, 90.00 degrees
Atoms (fractional coordinates):
Ca 0.000 0.000 0.000
Co 0.475 0.500 0.761
Co 0.525 0.500 0.239
Au 0.500 0.000 0.500



(12)
Material: CsCuAs
Method: DFT, PBE-GGA
State: relaxed

Calculated values
Space group: P4/nmm (129)
Energy relative to the lowest polymorph listed for this composition: 0.072 eV per atom
Energy of formation from the pure elements: -0.6 eV/f.u.
DFT total energy: -20.46 eV/cell

Cell lengths 4.323, 4.323, 11.114 Å; angles 90.00, 90.00, 90.00 degrees
Atoms (fractional coordinates):
Cs 0.250 0.250 0.225
Cs 0.750 0.750 0.775
Cu 0.250 0.750 0.500
Cu 0.750 0.250 0.500
As 0.250 0.250 0.608
As 0.750 0.750 0.392



(13)
Material: Er4NiTe
Method: DFT, PBE-GGA
State: relaxed

Calculated values
Space group: C2/m (12)
E_form (uncorrected): -334 meV/atom
Energy relative to the lowest polymorph listed for this composition: 0.259 eV per atom
DFT total energy: -58.35 eV/cell

Cell lengths 9.593, 9.593, 9.338 Å; angles 111.75, 111.75, 31.53 degrees
Atoms (fractional coordinates):
Er 0.025 0.025 0.204
Er 0.199 0.199 0.899
Er 0.249 0.249 0.314
Er 0.398 0.398 0.982
Er 0.602 0.602 0.018
Er 0.751 0.751 0.686
Er 0.801 0.801 0.101
Er 0.975 0.975 0.796
Ni 0.115 0.115 0.058
Ni 0.885 0.885 0.942
Te 0.160 0.160 0.539
Te 0.840 0.840 0.461



(14)
Material: RbIn2Ag
Method: DFT, PBE-GGA
State: relaxed

Calculated values
Space group: Pmmn (59)
Energy of formation from the pure elements: -0.2 eV/f.u.
DFT total energy: -19.03 eV/cell

Cell lengths 4.829, 6.395, 8.258 Å; angles 90.00, 90.00, 90.00 degrees
Atoms (fractional coordinates):
Rb 0.250 0.250 0.072
Rb 0.750 0.750 0.928
In 0.250 0.503 0.632
In 0.250 0.997 0.632
In 0.750 0.003 0.368
In 0.750 0.497 0.368
Ag 0.250 0.750 0.328
Ag 0.750 0.250 0.672



(15)
Material: TeH2Br6
Method: DFT, PBE-GGA
State: relaxed

Calculated values
Space group: C2/c (15)
DFT total energy: -45.13 eV/cell

Cell lengths 10.393, 10.393, 6.820 Å; angles 95.79, 95.79, 79.10 degrees
Atoms (fractional coordinates):
Te 0.095 0.905 0.750
Te 0.905 0.095 0.250
H 0.342 0.382 0.175
H 0.382 0.342 0.675
H 0.618 0.658 0.325
H 0.658 0.618 0.825
Br 0.028 0.179 0.603
Br 0.129 0.677 0.877
Br 0.179 0.028 0.103
Br 0.275 0.446 0.345
Br 0.323 0.871 0.623
Br 0.446 0.275 0.845
Br 0.554 0.725 0.155
Br 0.677 0.129 0.377
Br 0.725 0.554 0.655
Br 0.821 0.972 0.897
Br 0.871 0.323 0.123
Br 0.972 0.821 0.397



(16)
Material: VCrSn
Method: DFT, PBE-GGA
State: relaxed

Calculated values
Space group: P4/nmm (129)
Energy of formation from the pure elements: 0.4 eV/f.u.
DFT total energy: -44.60 eV/cell

Cell lengths 3.963, 3.963, 6.353 Å; angles 90.00, 90.00, 90.00 degrees
Atoms (fractional coordinates):
V 0.250 0.750 0.000
V 0.750 0.250 0.000
Cr 0.250 0.250 0.236
Cr 0.750 0.750 0.764
Sn 0.250 0.250 0.676
Sn 0.750 0.750 0.324



(17)
Material: Tl2SnHg
Method: DFT, PBE-GGA
State: relaxed

Calculated values
Space group: I-42d (122)
Energy relative to the lowest polymorph listed for this composition: 0.098 eV per atom
Energy of formation from the pure elements: 0.4 eV/f.u.
DFT total energy: -17.21 eV/cell

Cell lengths 6.931, 6.931, 6.931 Å; angles 102.23, 102.23, 125.19 degrees
Atoms (fractional coordinates):
Tl 0.123 0.625 0.998
Tl 0.375 0.373 0.498
Tl 0.627 0.125 0.002
Tl 0.875 0.877 0.502
Sn 0.000 0.000 0.000
Sn 0.750 0.250 0.500
Hg 0.250 0.750 0.500
Hg 0.500 0.500 0.000



(18)
Material: Ba2BH
Method: DFT, PBE-GGA
State: relaxed

Calculated values
Space group: Fm-3m (225)
Energy relative to the lowest polymorph listed for this composition: 0.012 eV per atom
DFT total energy: -12.03 eV/cell

Cell lengths 5.216, 5.216, 5.216 Å; angles 60.00, 60.00, 60.00 degrees
Atoms (fractional coordinates):
Ba 0.250 0.250 0.250
Ba 0.750 0.750 0.750
B 0.000 0.000 0.000
H 0.500 0.500 0.500



(19)
Material: Pm2Nd3Dy3
Method: DFT, PBE-GGA
State: relaxed

Calculated values
Space group: Immm (71)
Energy relative to the lowest polymorph listed for this composition: 0.000 eV per atom
Energy of formation from the pure elements: 0.1 eV/f.u.
DFT total energy: -37.48 eV/cell

Cell lengths 10.862, 10.862, 10.862 Å; angles 152.78, 152.72, 38.92 degrees
Atoms (fractional coordinates):
Pm 0.250 0.250 0.000
Pm 0.750 0.750 0.000
Nd 0.000 0.000 0.000
Nd 0.376 0.876 0.500
Nd 0.624 0.124 0.500
Dy 0.125 0.625 0.500
Dy 0.500 0.500 0.000
Dy 0.875 0.375 0.500



(20)
Material: YEr5Ru6
Method: DFT, PBE-GGA
State: relaxed

Calculated values
Space group: C2/m (12)
Energy of formation from the pure elements: -4.4 eV/f.u.
DFT total energy: -89.30 eV/cell

Cell lengths 8.247, 8.247, 4.782 Å; angles 106.72, 106.72, 48.42 degrees
Atoms (fractional coordinates):
Y 0.000 0.000 0.000
Er 0.167 0.167 0.667
Er 0.333 0.333 0.333
Er 0.500 0.500 0.000
Er 0.667 0.667 0.667
Er 0.833 0.833 0.333
Ru 0.084 0.580 0.832
Ru 0.253 0.747 0.500
Ru 0.420 0.916 0.168
Ru 0.580 0.084 0.832
Ru 0.747 0.253 0.500
Ru 0.916 0.420 0.168



(21)
Material: Zn2CuAsPt
Method: DFT, PBE-GGA
State: relaxed

Calculated values
Space group: P4/mmm (123)
Energy of formation from the pure elements: 2.4 eV/f.u.
DFT total energy: -14.89 eV/cell

Cell lengths 4.532, 4.532, 4.437 Å; angles 90.00, 90.00, 90.00 degrees
Atoms (fractional coordinates):
Zn 0.000 0.500 0.000
Zn 0.500 0.000 0.000
Cu 0.000 0.000 0.000
As 0.000 0.000 0.500
Pt 0.500 0.500 0.500



(22)
Material: CaTeSe2N
Method: DFT, PBE-GGA
State: relaxed

Calculated values
Space group: P4/mmm (123)
E_form (uncorrected): 758 meV/atom
Energy relative to the lowest polymorph listed for this composition: 0.742 eV per atom
DFT total energy: -16.65 eV/cell

Cell lengths 5.518, 5.518, 4.185 Å; angles 90.00, 90.00, 90.00 degrees
Atoms (fractional coordinates):
Ca 0.000 0.000 0.000
Te 0.500 0.500 0.500
Se 0.000 0.500 0.000
Se 0.500 0.000 0.000
N 0.000 0.000 0.500



(23)
Material: Cs2TmTl2Cl6
Method: DFT, PBE-GGA
State: relaxed

Calculated values
Space group: C2/m (12)
E_form (uncorrected): -1656 meV/atom
DFT total energy: -40.21 eV/cell

Cell lengths 8.273, 8.273, 8.670 Å; angles 97.96, 97.96, 121.50 degrees
Atoms (fractional coordinates):
Cs 0.165 0.835 0.000
Cs 0.835 0.165 0.000
Tm 0.500 0.500 0.000
Tl 0.255 0.745 0.500
Tl 0.745 0.255 0.500
Cl 0.183 0.183 0.819
Cl 0.297 0.557 0.185
Cl 0.443 0.703 0.815
Cl 0.557 0.297 0.185
Cl 0.703 0.443 0.815
Cl 0.817 0.817 0.181